No. 1
Density functional theory data (GGA-PBE) for ScSi2B2 after structural relaxation.

Output
**Uncorrected energy**: -5.578 eV/atom
**Crystal system**: tetragonal
**Formation energy without anion corrections**: 0.5281 eV per atom
**M_tot**: 0.2 μB/f.u.

Structure (CIF):
```
data_ScSi2B2
_cell_length_a 6.604
_cell_length_b 6.604
_cell_length_c 3.044
_cell_angle_alpha 90.00
_cell_angle_beta 90.00
_cell_angle_gamma 90.00
_symmetry_space_group_name_H-M 'P 4/m b m'
_symmetry_Int_Tables_number 127
_symmetry_space_group_name_Hall '-P 4 2ab'
loop_
_atom_site_label
_atom_site_type_symbol
_atom_site_fract_x
_atom_site_fract_y
_atom_site_fract_z
Sc1 Sc 0.000 0.000 0.000
Si1 Si 0.130 0.370 0.000
B1 B 0.107 0.607 0.500
```

***

No. 2
Density functional theory data (GGA-PBE) for Sc2SiB after structural relaxation.

Output
**Uncorrected energy**: -6.257 eV/atom
**Crystal system**: cubic
**Formation energy without anion corrections**: -0.0657 eV per atom
**M_tot**: 0.0 μB/f.u.

Structure (CIF):
```
data_Sc2SiB
_cell_length_a 6.342
_cell_length_b 6.342
_cell_length_c 6.342
_cell_angle_alpha 90.00
_cell_angle_beta 90.00
_cell_angle_gamma 90.00
_symmetry_space_group_name_H-M 'F m -3 m'
_symmetry_Int_Tables_number 225
_symmetry_space_group_name_Hall '-F 4 2 3'
loop_
_atom_site_label
_atom_site_type_symbol
_atom_site_fract_x
_atom_site_fract_y
_atom_site_fract_z
Sc1 Sc 0.250 0.250 0.250
Si1 Si 0.000 0.000 0.000
B1 B 0.000 0.000 0.500
```

***

No. 3
Density functional theory data (GGA-PBE) for ScSi2B2 after structural relaxation.

Output
**Uncorrected energy**: -5.972 eV/atom
**Crystal system**: tetragonal
**Formation energy without anion corrections**: 0.1349 eV per atom
**M_tot**: 0.0 μB/f.u.

Structure (CIF):
```
data_ScSi2B2
_cell_length_a 3.974
_cell_length_b 3.974
_cell_length_c 7.878
_cell_angle_alpha 90.00
_cell_angle_beta 90.00
_cell_angle_gamma 90.00
_symmetry_space_group_name_H-M 'I 4/m m m'
_symmetry_Int_Tables_number 139
_symmetry_space_group_name_Hall '-I 4 2'
loop_
_atom_site_label
_atom_site_type_symbol
_atom_site_fract_x
_atom_site_fract_y
_atom_site_fract_z
Sc1 Sc 0.000 0.000 0.000
Si1 Si 0.000 0.000 0.348
B1 B 0.000 0.500 0.250
```

***

No. 4
Density functional theory data (GGA-PBE) for ScSiB3 after structural relaxation.

Output
**Uncorrected energy**: -4.174 eV/atom
**Crystal system**: cubic
**Formation energy without anion corrections**: 2.1837 eV per atom
**M_tot**: 0.0 μB/f.u.

Structure (CIF):
```
data_ScSiB3
_cell_length_a 4.395
_cell_length_b 4.395
_cell_length_c 4.395
_cell_angle_alpha 90.00
_cell_angle_beta 90.00
_cell_angle_gamma 90.00
_symmetry_space_group_name_H-M 'P m -3 m'
_symmetry_Int_Tables_number 221
_symmetry_space_group_name_Hall '-P 4 2 3'
loop_
_atom_site_label
_atom_site_type_symbol
_atom_site_fract_x
_atom_site_fract_y
_atom_site_fract_z
Sc1 Sc 0.000 0.000 0.000
Si1 Si 0.500 0.500 0.500
B1 B 0.000 0.000 0.500
```

***

No. 5
Density functional theory data (GGA-PBE) for Sc2SiB after structural relaxation.

Output
**Uncorrected energy**: -5.526 eV/atom
**Crystal system**: trigonal
**Formation energy without anion corrections**: 0.6652 eV per atom
**M_tot**: 0.2 μB/f.u.

Structure (CIF):
```
data_Sc2SiB
_cell_length_a 3.2480
_cell_length_b 3.2480
_cell_length_c 26.1621
_cell_angle_alpha 90.00
_cell_angle_beta 90.00
_cell_angle_gamma 120.00
_symmetry_space_group_name_H-M 'R -3 m'
_symmetry_Int_Tables_number 166
_symmetry_space_group_name_Hall '-R 3 2"'
loop_
_atom_site_label
_atom_site_type_symbol
_atom_site_fract_x
_atom_site_fract_y
_atom_site_fract_z
Sc1 Sc 0.0000 0.0000 0.0904
Si1 Si 0.0000 0.0000 0.5000
B1 B 0.0000 0.0000 0.0000
```

***

No. 6
Density functional theory data (GGA-PBE) for ScSi3B after structural relaxation.

Output
**Uncorrected energy**: -5.468 eV/atom
**Crystal system**: cubic
**Formation energy without anion corrections**: 0.3879 eV per atom
**M_tot**: 0.0 μB/f.u.

Structure (CIF):
```
data_ScSi3B
_cell_length_a 4.231
_cell_length_b 4.231
_cell_length_c 4.231
_cell_angle_alpha 90.00
_cell_angle_beta 90.00
_cell_angle_gamma 90.00
_symmetry_space_group_name_H-M 'P m -3 m'
_symmetry_Int_Tables_number 221
_symmetry_space_group_name_Hall '-P 4 2 3'
loop_
_atom_site_label
_atom_site_type_symbol
_atom_site_fract_x
_atom_site_fract_y
_atom_site_fract_z
Sc1 Sc 0.000 0.000 0.000
Si1 Si 0.000 0.500 0.500
B1 B 0.500 0.500 0.500
```

***

No. 7
Density functional theory data (GGA-PBE) for ScSiB2 after structural relaxation.

Output
**Uncorrected energy**: -6.160 eV/atom
**Crystal system**: tetragonal
**Formation energy without anion corrections**: 0.1178 eV per atom
**M_tot**: 0.0 μB/f.u.

Structure (CIF):
```
data_ScSiB2
_cell_length_a 4.097
_cell_length_b 4.097
_cell_length_c 12.695
_cell_angle_alpha 90.00
_cell_angle_beta 90.00
_cell_angle_gamma 90.00
_symmetry_space_group_name_H-M 'I -4 2 d'
_symmetry_Int_Tables_number 122
_symmetry_space_group_name_Hall 'I -4 2bw'
loop_
_atom_site_label
_atom_site_type_symbol
_atom_site_fract_x
_atom_site_fract_y
_atom_site_fract_z
Sc1 Sc 0.000 0.000 0.000
Si1 Si 0.000 0.000 0.500
B1 B 0.096 0.250 0.625
```

***

No. 8
Density functional theory data (GGA-PBE) for ScSi3B after structural relaxation.

Output
**Uncorrected energy**: -4.082 eV/atom
**Crystal system**: cubic
**Formation energy without anion corrections**: 1.7733 eV per atom
**M_tot**: 0.0 μB/f.u.

Structure (CIF):
```
data_ScSi3B
_cell_length_a 4.985
_cell_length_b 4.985
_cell_length_c 4.985
_cell_angle_alpha 90.00
_cell_angle_beta 90.00
_cell_angle_gamma 90.00
_symmetry_space_group_name_H-M 'P m -3 m'
_symmetry_Int_Tables_number 221
_symmetry_space_group_name_Hall '-P 4 2 3'
loop_
_atom_site_label
_atom_site_type_symbol
_atom_site_fract_x
_atom_site_fract_y
_atom_site_fract_z
Sc1 Sc 0.000 0.000 0.000
Si1 Si 0.000 0.000 0.500
B1 B 0.500 0.500 0.500
```